1.
RbScSi2 | GGA-PBE | optimized geometry

The space group is I-42d (No. 122) and the conventional cell measures 5.339, 5.339 and 18.407 Å, with angles of 90.00, 90.00 and 90.00 degrees. The inequivalent atoms are Rb at (0.000, 0.000, 0.000), Sc at (0.000, 0.000, 0.500) and Si at (0.001, 0.750, 0.625).

As for the volume: 32.79 A^3/atom. Its energy above the lowest structure with this stoichiometry is 0 meV/atom.

***

2.
RbScSiTe4 | GGA-PBE | optimized geometry

The space group is P2_1/m (No. 11) and the conventional cell measures 6.962, 7.597 and 10.048 Å, with angles of 90.00, 109.41 and 90.00 degrees. The inequivalent atoms are Rb at (0.223, 0.250, 0.049), Sc at (0.222, 0.250, 0.548), Si at (0.221, 0.750, 0.343), Te at (0.027, 0.507, 0.696), Te at (0.425, 0.750, 0.180) and Te at (0.468, 0.750, 0.588).

As for the volume: 35.81 A^3/atom. The calculation puts the energy at -4.32 eV per atom.

***

3.
RbScTi2Si | GGA-PBE | optimized geometry

The space group is P4/mmm (No. 123) and the conventional cell measures 5.014, 5.014 and 5.248 Å, with angles of 90.00, 90.00 and 90.00 degrees. The inequivalent atoms are Rb at (0.000, 0.000, 0.000), Sc at (0.500, 0.500, 0.500), Ti at (0.000, 0.500, 0.500) and Si at (0.500, 0.500, 0.000).

As for the volume: 26.38 A^3/atom. The calculation puts the energy at -4.61 eV per atom.

***

4.
RbZr2ScSi | GGA-PBE | optimized geometry

The space group is P4/mmm (No. 123) and the conventional cell measures 4.976, 4.976 and 5.425 Å, with angles of 90.00, 90.00 and 90.00 degrees. The inequivalent atoms are Rb at (0.000, 0.000, 0.000), Zr at (0.000, 0.500, 0.000), Sc at (0.500, 0.500, 0.500) and Si at (0.000, 0.000, 0.500).

As for the volume: 26.87 A^3/atom. The calculation puts the energy at -4.07 eV per atom.

***

5.
RbSm2Sc | GGA-PBE | optimized geometry

The space group is R-3m (No. 166, hexagonal axes) and the conventional cell measures 3.6027, 3.6027 and 39.3012 Å, with angles of 90.00, 90.00 and 120.00 degrees. The inequivalent atoms are Rb at (0.0000, 0.0000, 0.0000), Sm at (0.0000, 0.0000, 0.0990) and Sc at (0.0000, 0.0000, 0.5000).

As for the volume: 36.81 A^3/atom. The formation energy is 0.300 eV/atom.

***

6.
RbSmScTe3 | GGA-PBE | optimized geometry

The space group is P2_1/m (No. 11) and the conventional cell measures 9.969, 4.662 and 10.898 Å, with angles of 90.00, 108.54 and 90.00 degrees. The inequivalent atoms are Rb at (0.206, 0.250, 0.232), Sm at (0.338, 0.750, 0.866), Sc at (0.086, 0.250, 0.607), Te at (0.116, 0.250, 0.870), Te at (0.213, 0.750, 0.544) and Te at (0.463, 0.750, 0.165).

As for the volume: 40.02 A^3/atom. The calculation puts the energy at -4.80 eV per atom.

***

7.
Rb3Sm3ScTe8 | GGA-PBE | optimized geometry

The space group is R-3m (No. 166, hexagonal axes) and the conventional cell measures 8.8662, 8.8662 and 26.6775 Å, with angles of 90.00, 90.00 and 120.00 degrees. The inequivalent atoms are Rb at (0.0000, 0.5000, 0.0000), Sm at (0.0000, 0.5000, 0.5000), Sc at (0.0000, 0.0000, 0.5000), Te at (0.0000, 0.0000, 0.2351) and Te at (0.0155, 0.5077, 0.2318).

As for the volume: 40.36 A^3/atom. The calculation puts the energy at -4.52 eV per atom.

***

8.
Rb4Sm3ScTe8 | GGA-PBE | optimized geometry

The space group is R-3m (No. 166, hexagonal axes) and the conventional cell measures 9.0839, 9.0839 and 25.6510 Å, with angles of 90.00, 90.00 and 120.00 degrees. The inequivalent atoms are Rb at (0.0000, 0.0000, 0.0000), Rb at (0.0000, 0.5000, 0.0000), Sm at (0.0000, 0.5000, 0.5000), Sc at (0.0000, 0.0000, 0.5000), Te at (0.0000, 0.0000, 0.2350) and Te at (0.0142, 0.5071, 0.2325).

As for the volume: 38.19 A^3/atom. The calculation puts the energy at -4.45 eV per atom.